No. 1
Density functional theory data (PBE-GGA) for crystalline KAlRe2O at its relaxed geometry.

Cell and atoms, written as extended XYZ:
```
5
Lattice="4.070 0.000 0.000 0.000 5.272 0.000 0.000 0.000 4.070" Properties=species:S:1:pos:R:3 pbc="T T T"
K 2.035 2.636 2.035
Re 2.035 0.000 0.000
Re 0.000 0.000 2.035
Al 0.000 2.636 0.000
O 0.000 0.000 0.000
```

Calculated values
The value obtained for the formation energy from raw total energies is 0.864 eV per atom. The total DFT energy (no corrections) comes out at -30.4 eV per cell. The spin magnetization is 0.000 μB/f.u. Its space-group type is P4/mmm (123). The energy above the lowest structure with this stoichiometry is 0 meV per atom.


No. 2
Density functional theory data (PBE-GGA) for crystalline K2AlRhO4 at its relaxed geometry.

Cell and atoms, written as extended XYZ:
```
16
Lattice="-4.401 -1.676 2.923 -1.227 -6.480 -0.307 3.200 -2.209 8.806" Properties=species:S:1:pos:R:3 pbc="T T T"
O -1.840 -8.843 10.281
O 1.686 -3.495 8.687
O -2.562 -2.273 2.451
O -0.800 -4.315 6.560
O 0.248 -3.328 3.990
O -2.140 -6.117 1.423
O -1.401 -5.963 4.711
O -2.902 -7.122 7.581
K 1.268 -1.718 6.179
K -2.469 -2.166 5.550
K -4.245 -5.111 3.815
K -0.383 -6.091 9.068
Rh -2.314 -5.601 6.441
Rh 0.000 0.000 0.000
Al -0.114 -4.763 4.980
Al -2.200 -0.838 1.462
```

Calculated values
The value obtained for the formation energy from raw total energies is -1.493 eV per atom. The total DFT energy (no corrections) comes out at -90.1 eV per cell. The spin magnetization is 0.000 μB/f.u. Its space-group type is Fddd (70).